# 1
A plane-wave DFT calculation with PBE was carried out for a geometry-optimized MgPtSeO structure.

## Properties
E above lowest polymorph = 0.0 meV per atom
Electronic total energy = -0.382 Ry per atom

POSCAR file:
```
MgPtSeO
1.0
-3.5419 -0.9659 -4.1306
-2.9684 -5.9831 3.9444
-3.7047 3.4070 2.3800
Mg O Pt Se
4 4 4 4
direct
0.2502 0.0318 0.3729
0.7501 0.9682 0.3729
0.2499 0.0318 0.8729
0.7499 0.9682 0.8729
0.9895 0.0438 0.1231
0.4895 0.9562 0.1231
0.5105 0.0438 0.6231
0.0105 0.9562 0.6231
0.9920 0.3314 0.1269
0.4920 0.6686 0.1269
0.5080 0.3314 0.6269
0.0080 0.6686 0.6269
0.5030 0.3549 0.1271
0.0030 0.6451 0.1271
0.9970 0.3549 0.6271
0.4970 0.6451 0.6271
```



# 2
A plane-wave DFT calculation with PBE was carried out for a geometry-optimized Sc2CoSiGe structure.

## Properties
Electronic total energy = -0.500 Ry per atom

POSCAR file:
```
Sc2CoSiGe
1.0
4.9708 -1.9851 0.0000
4.9708 1.9851 0.0000
-4.6004 0.0000 8.3838
Co Ge Sc Si
2 2 4 2
direct
0.7293 0.7293 0.3805
0.2707 0.2707 0.6195
0.4800 0.4800 0.1272
0.5200 0.5200 0.8728
0.1825 0.1825 0.1094
0.0008 0.0008 0.3323
0.9992 0.9992 0.6677
0.8175 0.8175 0.8906
0.3548 0.3548 0.4306
0.6452 0.6452 0.5694
```



# 3
A plane-wave DFT calculation with PBE was carried out for a geometry-optimized HfAlFeMo structure.

## Properties
E above lowest polymorph = 0.0 meV per atom
Electronic total energy = -0.608 Ry per atom

POSCAR file:
```
HfAlFeMo
1.0
2.8241 -3.1086 1.4425
-1.4496 -3.2642 2.6388
-0.2837 -4.1504 -1.5535
Al Fe Hf Mo
1 1 1 1
direct
0.0000 0.0000 0.0000
0.7500 0.7500 0.7500
0.5000 0.5000 0.5000
0.2500 0.2500 0.2500
```



Copy entry 1 word for word.
A plane-wave DFT calculation with PBE was carried out for a geometry-optimized MgPtSeO structure.

## Properties
E above lowest polymorph = 0.0 meV per atom
Electronic total energy = -0.382 Ry per atom

POSCAR file:
```
MgPtSeO
1.0
-3.5419 -0.9659 -4.1306
-2.9684 -5.9831 3.9444
-3.7047 3.4070 2.3800
Mg O Pt Se
4 4 4 4
direct
0.2502 0.0318 0.3729
0.7501 0.9682 0.3729
0.2499 0.0318 0.8729
0.7499 0.9682 0.8729
0.9895 0.0438 0.1231
0.4895 0.9562 0.1231
0.5105 0.0438 0.6231
0.0105 0.9562 0.6231
0.9920 0.3314 0.1269
0.4920 0.6686 0.1269
0.5080 0.3314 0.6269
0.0080 0.6686 0.6269
0.5030 0.3549 0.1271
0.0030 0.6451 0.1271
0.9970 0.3549 0.6271
0.4970 0.6451 0.6271
```



- The lowest electronic total energy belongs to which entry?
  HfAlFeMo



- Which of these has the lowest electronic total energy?
  HfAlFeMo